Entry a
CuBPO2, relaxed, DFT GGA-PBEsol; N(E_F) = 0.5974 states/eV per atom
1.0
-1.8331 -2.2018 1.1420
1.7767 -2.1565 -1.3060
3.6269 -0.2480 5.3435
B P O Cu
1 1 2 1
Cartesian
0.0000 0.0000 0.0000
1.8134 -0.1240 2.6718
-0.9165 -1.1009 0.5710
0.8883 -1.0782 -0.6530
1.7852 -2.3032 2.5898

---

Entry b
CuBPO2, relaxed, DFT GGA-PBEsol; N(E_F) = 0.5765 states/eV per atom
1.0
3.4907 0.0000 0.0000
0.0000 3.4907 0.0000
0.0000 0.0000 4.8358
P B O Cu
1 1 2 1
Cartesian
0.0000 0.0000 2.4179
1.7453 1.7453 2.4179
0.0000 1.7453 0.0000
1.7453 0.0000 0.0000
0.0000 0.0000 0.0000

---

Most stable: entry a

---

Entry a
DyFe3B4O12, relaxed, DFT GGA-PBEsol; N(E_F) = 0.7108 states/eV per atom
1.0
-0.8077 -0.2092 5.8201
0.2498 -5.6335 -1.6646
5.4942 1.9859 -0.6629
O B Fe Dy
12 4 3 1
Cartesian
2.8946 1.0804 2.0114
1.1386 -0.3074 2.6850
-0.6500 -1.0181 4.7039
-0.3715 -2.4467 2.7326
2.8810 -0.5461 -0.0414
2.4131 -2.4905 -1.2514
0.6394 -2.7866 0.6527
3.3768 -1.3906 3.7863
2.2097 -4.1026 2.4412
1.0319 -4.4972 -1.5152
4.5634 -2.4371 0.9538
4.5544 1.6585 0.3039
3.1972 -1.3514 -1.1017
0.0000 0.0000 0.0000
-0.2134 -3.2576 1.6137
1.9525 0.7523 2.9805
2.9324 -4.3096 -1.5394
-0.2984 -2.8920 4.5923
4.7704 1.4164 2.1860
2.4681 -1.9284 1.7463

---

Entry b
DyFe3B4O12, relaxed, DFT GGA-PBEsol; N(E_F) = 0.3221 states/eV per atom
1.0
7.3823 0.0000 0.0000
0.0000 9.4331 0.0000
0.0000 -4.7166 8.1693
O Dy B Fe
36 3 12 9
Cartesian
3.5233 2.6950 1.2159
1.6793 -0.7093 5.8651
6.2916 2.1981 0.9795
1.3815 4.4098 0.0247
3.5814 5.7035 1.1935
3.5400 2.4903 4.3627
1.0793 -2.1835 3.8313
6.6008 0.7174 5.8511
6.0008 -0.3068 8.1447
0.7815 5.4339 2.3183
5.9841 7.0327 1.7260
6.1519 -0.3432 0.5944
6.0421 5.5478 4.3427
1.0625 4.4221 5.2275
6.2618 -1.8182 5.5361
1.1206 2.8984 2.6332
3.8308 4.4658 5.7760
1.3983 2.3161 6.4434
6.0123 2.7693 6.7554
3.2423 4.7085 3.5468
1.2304 0.8293 1.4364
1.2304 4.3734 7.5750
6.3198 -0.2945 2.9419
3.6912 7.7746 0.0000
1.3402 0.8313 3.8267
3.6912 0.6863 0.0000
1.0907 -2.5185 7.1899
3.5515 -0.2508 2.3934
1.3700 7.4858 1.4139
6.3031 2.5330 4.3380
3.8010 0.9869 6.9759
6.1519 -3.8873 6.7330
4.1401 -0.0081 4.6225
3.8423 7.2069 3.8067
3.8591 -2.0216 6.9535
5.7030 4.0073 2.3043
2.4608 -3.1058 5.3794
0.0000 6.2116 0.0000
4.9216 1.6108 2.7900
6.1519 -3.1817 5.5109
1.2304 1.5348 2.6584
3.6912 6.3635 0.0000
1.1005 6.7665 2.5607
6.1519 -1.0408 1.8026
1.3603 -1.1656 7.1403
1.2304 3.6758 6.3667
3.8211 -0.8843 3.5898
6.0220 3.5510 1.0290
6.2819 2.0499 5.6086
3.5612 3.8323 4.5796
3.6912 2.0815 0.0000
0.1083 -0.5923 4.5013
5.0299 -0.5222 6.4316
0.0000 0.9988 0.0000
4.8132 5.8311 2.7636
7.2740 4.1243 3.6681
2.5691 1.1145 5.4058
2.4608 -0.4994 0.8650
2.3524 4.1944 1.7377
4.9216 4.2172 7.3043

---

Most stable: entry b

---

Entry a
BIrOF2, relaxed, DFT GGA-PBEsol; N(E_F) = 0.5561 states/eV per atom
1.0
-2.3222 2.6939 0.8837
0.9940 -0.5054 4.1526
3.1744 2.8710 -0.4105
F O Ir B
2 1 1 1
Cartesian
0.4970 -0.2527 2.0763
1.5872 1.4355 -0.2052
-1.1611 1.3470 0.4419
0.0000 0.0000 0.0000
0.9231 2.5298 2.3129

---

Entry b
BIrOF2, relaxed, DFT GGA-PBEsol; N(E_F) = 0.4458 states/eV per atom
1.0
-2.4634 -0.1446 0.6740
0.6428 -4.1769 1.4536
1.0184 1.5693 4.0587
F Ir B O
2 1 1 1
Cartesian
0.5092 0.7846 2.0293
0.3214 -2.0884 0.7268
-0.4011 -1.3761 3.0932
0.0000 0.0000 0.0000
-1.2317 -0.0723 0.3370

---

Most stable: entry b

---

Entry a
BRuN2F, relaxed, DFT GGA-PBEsol; N(E_F) = 0.6549 states/eV per atom
1.0
-2.3371 -0.3836 1.8659
2.0961 -1.8028 2.2547
0.8288 3.0449 1.6641
B N Ru F
1 2 1 1
Cartesian
0.0000 0.0000 0.0000
1.0480 -0.9014 1.1274
0.4144 1.5224 0.8321
0.2939 0.4292 2.8924
-1.1686 -0.1918 0.9329

---

Entry b
BRuN2F, relaxed, DFT GGA-PBEsol; N(E_F) = 0.4259 states/eV per atom
1.0
3.7505 0.0000 0.0000
0.0000 3.7505 0.0000
0.0000 0.0000 4.0833
N Ru B F
2 1 1 1
Cartesian
0.0000 1.8752 0.0000
1.8752 0.0000 0.0000
0.0000 0.0000 0.0000
1.8752 1.8752 2.0416
0.0000 0.0000 2.0416

---

Most stable: entry a